Material: SmPdAu2
Method: DFT, PBE-GGA
State: optimized geometry

Lattice parameters (Å, degrees): 4.8838 4.8838 4.8838 60.00 60.00 60.00
Last column: nearest neighbours and their distance in Å.
Atoms (fractional coordinates):
1 Au 0.2500 0.2500 0.2500  4 Pd 2.99, 4 Sm 2.99
2 Au 0.7500 0.7500 0.7500  4 Sm 2.99, 4 Pd 2.99
3 Pd 0.5000 0.5000 0.5000  8 Au 2.99
4 Sm 0.0000 0.0000 0.0000  8 Au 2.99

Computed properties:
**Energy of formation**: -0.6424 eV per atom
**Total DFT energy (no corrections)**: -19.04 eV per cell
**Space group**: No. 225
**Crystal system**: cubic